Record 1
KMnCuAs2 | GGA-PBEsol | optimized geometry

- Space-group type: P4/mmm, No. 123

POSCAR file:
```
KMnCuAs2
1.0
4.7888 0.0000 0.0000
0.0000 4.7888 0.0000
0.0000 0.0000 4.7610
K Mn Cu As
1 1 1 2
direct
0.0000 0.0000 0.0000 K
0.5000 0.5000 0.0000 Mn
0.5000 0.5000 0.5000 Cu
0.0000 0.5000 0.5000 As
0.5000 0.0000 0.5000 As
```



Record 2
MnCr2Ir | GGA-PBEsol | optimized geometry

- Space-group type: Pmmm, No. 47

POSCAR file:
```
MnCr2Ir
1.0
2.6009 0.0000 0.0000
0.0000 3.5486 0.0000
0.0000 0.0000 5.1472
Mn Cr Ir
1 2 1
direct
0.0000 0.0000 0.0000 Mn
0.5000 0.5000 0.2346 Cr
0.5000 0.5000 0.7654 Cr
0.0000 0.0000 0.5000 Ir
```



no.,DFT total energy (eV/cell)
1,-23.13
2,-40.01